Ba3Li4Sn2: relaxed, PBE-GGA.

The structure in POSCAR format:
```
Ba3Li4Sn2
1.0
5.8782 -2.4982 0.0000
5.8782 2.4982 0.0000
-1.9370 0.0000 9.6255
Ba Li Sn
3 4 2
Direct
0.0000 0.0000 0.0000 Ba
0.3756 0.3756 0.6198 Ba
0.6244 0.6244 0.3802 Ba
0.0946 0.0946 0.6609 Li
0.2630 0.2630 0.9271 Li
0.7370 0.7370 0.0729 Li
0.9054 0.9054 0.3391 Li
0.3079 0.3079 0.2235 Sn
0.6921 0.6921 0.7765 Sn
```

Calculated values
- energy relative to the elements (eV per atom) = -0.3871


Ba3Li2Sn7: relaxed, PBE-GGA.

The structure in POSCAR format:
```
Ba3Li2Sn7
1.0
3.2563 1.8800 9.7022
-3.2563 1.8800 9.7022
0.0000 -3.7601 9.7022
Ba Li Sn
3 2 7
Direct
0.0000 0.0000 0.0000 Ba
0.1419 0.1419 0.1419 Ba
0.8581 0.8581 0.8581 Ba
0.3381 0.3381 0.3381 Li
0.6619 0.6619 0.6619 Li
0.0657 0.5836 0.5836 Sn
0.4164 0.4164 0.9343 Sn
0.4164 0.9343 0.4164 Sn
0.5000 0.5000 0.5000 Sn
0.5836 0.0657 0.5836 Sn
0.5836 0.5836 0.0657 Sn
0.9343 0.4164 0.4164 Sn
```

Calculated values
- energy relative to the elements (eV per atom) = -0.5131


BaLi12Sn4: relaxed, PBE-GGA.

The structure in POSCAR format:
```
BaLi12Sn4
1.0
-4.9744 4.9744 4.9744
4.9744 -4.9744 4.9744
4.9744 4.9744 -4.9744
Ba Li Sn
1 12 4
Direct
0.0000 0.0000 0.0000 Ba
0.1335 0.7943 0.3393 Li
0.2057 0.3393 0.5450 Li
0.2057 0.6607 0.8665 Li
0.3393 0.1335 0.7943 Li
0.3393 0.5450 0.2057 Li
0.4550 0.7943 0.6607 Li
0.5450 0.2057 0.3393 Li
0.6607 0.4550 0.7943 Li
0.6607 0.8665 0.2057 Li
0.7943 0.3393 0.1335 Li
0.7943 0.6607 0.4550 Li
0.8665 0.2057 0.6607 Li
0.0000 0.0000 0.5000 Sn
0.0000 0.5000 0.0000 Sn
0.5000 0.0000 0.0000 Sn
0.5000 0.5000 0.5000 Sn
```

Calculated values
- energy relative to the elements (eV per atom) = -0.0679


Ba3LiSn3: relaxed, PBE-GGA.

The structure in POSCAR format:
```
Ba3LiSn3
1.0
6.2317 -2.6287 0.0000
6.2317 2.6287 0.0000
-6.0992 0.0000 15.8119
Ba Li Sn
6 2 6
Direct
0.0488 0.0488 0.3853 Ba
0.0978 0.0978 0.9203 Ba
0.2506 0.2506 0.2272 Ba
0.7494 0.7494 0.7728 Ba
0.9022 0.9022 0.0797 Ba
0.9512 0.9512 0.6147 Ba
0.2509 0.2509 0.5976 Li
0.7491 0.7491 0.4024 Li
0.3748 0.3748 0.4549 Sn
0.3915 0.3915 0.9248 Sn
0.4510 0.4510 0.7686 Sn
0.5490 0.5490 0.2314 Sn
0.6085 0.6085 0.0752 Sn
0.6252 0.6252 0.5451 Sn
```

Calculated values
- energy relative to the elements (eV per atom) = -0.6234


Ba2Li3Sn5: relaxed, PBE-GGA.

The structure in POSCAR format:
```
Ba2Li3Sn5
1.0
-6.1575 6.7395 3.3576
6.1575 -6.7395 3.3576
6.1575 6.7395 -3.3576
Ba Li Sn
4 6 10
Direct
0.1274 0.2441 0.3714 Ba
0.3726 0.7441 0.1167 Ba
0.6274 0.2559 0.8833 Ba
0.8726 0.7559 0.6286 Ba
0.1246 0.8716 0.9962 Li
0.2500 0.7500 0.5000 Li
0.3754 0.3716 0.7471 Li
0.6246 0.6284 0.2529 Li
0.7500 0.2500 0.5000 Li
0.8754 0.1284 0.0038 Li
0.0062 0.7500 0.2562 Sn
0.1160 0.6440 0.7600 Sn
0.2500 0.2500 0.0000 Sn
0.3840 0.1440 0.5281 Sn
0.4938 0.7500 0.7438 Sn
0.5062 0.2500 0.2562 Sn
0.6160 0.8560 0.4719 Sn
0.7500 0.7500 0.0000 Sn
0.8840 0.3560 0.2400 Sn
0.9938 0.2500 0.7438 Sn
```

Calculated values
- energy relative to the elements (eV per atom) = -0.5060


Ba2LiSn2: relaxed, PBE-GGA.

The structure in POSCAR format:
```
Ba2LiSn2
1.0
10.4102 0.0000 0.0000
0.0000 10.4102 0.0000
0.0000 0.0000 3.6127
Ba Li Sn
4 2 4
Direct
0.1293 0.3707 0.0000 Ba
0.3707 0.8707 0.0000 Ba
0.6293 0.1293 0.0000 Ba
0.8707 0.6293 0.0000 Ba
0.0000 0.0000 0.0000 Li
0.5000 0.5000 0.0000 Li
0.1695 0.6695 0.5000 Sn
0.3305 0.1695 0.5000 Sn
0.6695 0.8305 0.5000 Sn
0.8305 0.3305 0.5000 Sn
```

Calculated values
- energy above the most stable polymorph in this dataset (meV/atom) = 346.1
- energy relative to the elements (eV per atom) = -0.2343